(1)
A relaxed AcLaTm4 crystal, computed with GGA-PBE.

Final energy in eV/cell: -26.34
V in A^3/atom: 33.6
Calculated formation energy in eV per atom: 0.097
Magnetic moment in μB per formula unit: 0.0
Space group: Pmmm (47)

a = 3.5498 Å, b = 5.7254 Å, c = 9.9217 Å
α = 90.00°, β = 90.00°, γ = 90.00°
Sites, in units of the cell vectors:
Ac  0.0000  0.0000  0.0000
La  0.0000  0.5000  0.5000
Tm  0.5000  0.0000  0.3359
Tm  0.5000  0.0000  0.6641
Tm  0.5000  0.5000  0.1696
Tm  0.5000  0.5000  0.8304

***

(2)
A relaxed Co2SiRh crystal, computed with GGA-PBE.

Final energy in eV/cell: -27.50
V in A^3/atom: 12.3
Formation energy from raw total energies in meV/atom: -127.6
Magnetic moment in μB per formula unit: 2.9
Space group: R3m (160)

a = 7.9216 Å, b = 7.9216 Å, c = 7.9216 Å
α = 19.63°, β = 19.63°, γ = 19.63°
Sites, in units of the cell vectors:
Co  0.0000  0.0000  0.0000
Co  0.2512  0.2512  0.2512
Si  0.7436  0.7436  0.7436
Rh  0.4915  0.4915  0.4915

***

(3)
A relaxed Ce3YS6 crystal, computed with GGA-PBE.

Final energy in eV/cell: -137.20
V in A^3/atom: 25.6
Offset from the most stable computed form in kcal/mol of atoms: 0.63
Formation energy from raw total energies in meV/atom: -1957.1
Magnetic moment in μB per formula unit: 3.0
Space group: P2_1/c (14)

a = 6.8092 Å, b = 7.4290 Å, c = 12.1579 Å
α = 90.00°, β = 123.59°, γ = 90.00°
Sites, in units of the cell vectors:
Ce  0.0000  0.0000  0.0000
Ce  0.0000  0.5000  0.5000
Ce  0.2886  0.0932  0.7501
Ce  0.2886  0.4068  0.2501
Ce  0.7114  0.5932  0.7499
Ce  0.7114  0.9068  0.2499
Y  0.5000  0.0000  0.5000
Y  0.5000  0.5000  0.0000
S  0.0990  0.0653  0.2540
S  0.0990  0.4347  0.7540
S  0.2601  0.6842  0.0783
S  0.2601  0.8158  0.5783
S  0.4038  0.1888  0.0790
S  0.4038  0.3112  0.5790
S  0.5962  0.6888  0.4210
S  0.5962  0.8112  0.9210
S  0.7399  0.1842  0.4217
S  0.7399  0.3158  0.9217
S  0.9010  0.5653  0.2460
S  0.9010  0.9347  0.7460

***

Question: What is the magnetic moment in the first record?
Answer: 0.0 μB per formula unit

***

Question: The lowest final energy belongs to which entry?
Answer: Ce3YS6

***

Question: Look up the magnetic moment of the third one.
Answer: 3.0 μB per formula unit

***

Question: Which of these has the lowest V?
Answer: Co2SiRh